No. 1
This record from Alexandria via LeMat-Bulk describes a relaxed Nd4Ga3 crystal. The functional is PBE.

a b c (Å): 13.9927 13.9927 6.5784
angles (deg): 90.00 90.00 120.00
Space group R-3 (No. 148, hexagonal axes)
Unique sites:
Nd (0.0000, 0.0000, 0.0000) [3 per cell]
Nd (0.0000, 0.0000, 0.5000) [3 per cell]
Nd (0.0583, 0.2596, 0.1746) [18 per cell]
Ga (0.0495, 0.2206, 0.7036) [18 per cell]

Computed properties:
ΔE to the lowest computed polymorph   4 meV per atom
Energy of formation from the pure elements   -42 kJ/mol of atoms

***

No. 2
This record from Alexandria via LeMat-Bulk describes a relaxed Nd4Ga crystal. The functional is PBE.

a b c (Å): 9.265 9.265 7.905
angles (deg): 90.00 90.00 90.00
Space group I4_1/amd (No. 141, origin choice 2)
Unique sites:
Nd (0.000, 0.060, 0.215) [16 per cell]
Ga (0.000, 0.250, 0.875) [4 per cell]

Computed properties:
ΔE to the lowest computed polymorph   0 meV per atom
Energy of formation from the pure elements   -7 kJ/mol of atoms

***

No. 3
This record from Alexandria via LeMat-Bulk describes a relaxed Nd7Ga3 crystal. The functional is PBE.

a b c (Å): 10.5224 10.5224 6.3196
angles (deg): 90.00 90.00 120.00
Space group P6_3mc (No. 186)
Unique sites:
Nd (0.0755, 0.5378, 0.0000) [6 per cell]
Nd (0.1223, 0.2445, 0.2378) [6 per cell]
Nd (0.3333, 0.6667, 0.4601) [2 per cell]
Ga (0.1903, 0.3806, 0.7009) [6 per cell]

Computed properties:
Energy of formation from the pure elements   -31 kJ/mol of atoms